i) The following is a DFT calculation (PBE) of NdNpTe3 after structural relaxation.

Cell lengths 8.346, 7.370, 11.280 Å; angles 90.00, 90.00, 90.00 degrees
Sites, in units of the cell vectors:
Te 0.824 0.157 0.079
Np 0.000 0.500 0.500
Te 0.324 0.343 0.079
Te 0.549 0.162 0.750
Nd 0.878 0.947 0.750
Te 0.176 0.843 0.921
Te 0.951 0.662 0.250
Nd 0.378 0.553 0.750
Te 0.049 0.338 0.750
Te 0.676 0.657 0.579
Te 0.676 0.657 0.921
Te 0.176 0.843 0.579
Te 0.824 0.157 0.421
Te 0.451 0.838 0.250
Np 0.000 0.500 0.000
Np 0.500 0.000 0.500
Nd 0.622 0.447 0.250
Te 0.324 0.343 0.421
Nd 0.122 0.053 0.250
Np 0.500 0.000 0.000

## Properties
magnetic moment	4.00	μB/f.u.
space group	Pnma (62)

=====

ii) The following is a DFT calculation (PBE) of NdNpTe3 after structural relaxation.

Cell lengths 7.713, 7.847, 11.588 Å; angles 108.15, 90.00, 90.00 degrees
Sites, in units of the cell vectors:
Np 0.699 0.067 0.044
Nd 0.713 0.005 0.367
Te 0.009 0.203 0.927
Te 0.509 0.297 0.573
Nd 0.787 0.505 0.867
Te 0.039 0.772 0.402
Nd 0.287 0.995 0.633
Te 0.961 0.228 0.598
Te 0.539 0.728 0.098
Np 0.801 0.567 0.544
Te 0.461 0.272 0.902
Te 0.876 0.318 0.276
Te 0.991 0.797 0.073
Nd 0.213 0.495 0.133
Te 0.376 0.182 0.224
Te 0.491 0.703 0.427
Np 0.199 0.433 0.456
Np 0.301 0.933 0.956
Te 0.124 0.682 0.724
Te 0.624 0.818 0.776

## Properties
magnetic moment	4.00	μB/f.u.
space group	P2_1/c (14)

=====

Stability ranking, top and bottom: i) is the most stable and ii) is the least stable.

=====

i) The following is a DFT calculation (PBE) of NdOsO4 after structural relaxation.

Cell lengths 5.501, 7.599, 15.182 Å; angles 90.00, 90.00, 90.00 degrees
Sites, in units of the cell vectors:
O 0.043 0.340 0.606
O 0.057 0.900 0.948
O 0.655 0.377 0.161
Os 0.237 0.374 0.831
Nd 0.745 0.120 0.904
O 0.836 0.623 0.668
Nd 0.309 0.123 0.559
O 0.039 0.156 0.440
Nd 0.309 0.377 0.059
O 0.418 0.680 0.222
O 0.836 0.877 0.168
Os 0.737 0.874 0.669
O 0.336 0.377 0.332
O 0.655 0.123 0.661
Os 0.737 0.626 0.169
Os 0.242 0.873 0.833
O 0.016 0.897 0.582
O 0.941 0.918 0.770
Nd 0.809 0.877 0.441
O 0.543 0.840 0.894
O 0.043 0.160 0.106
O 0.539 0.844 0.560
O 0.918 0.180 0.278
O 0.039 0.344 0.940
O 0.418 0.820 0.722
Os 0.242 0.627 0.333
O 0.155 0.877 0.339
O 0.155 0.623 0.839
O 0.016 0.603 0.082
O 0.543 0.660 0.394
Nd 0.245 0.880 0.096
Nd 0.745 0.380 0.404
O 0.441 0.418 0.730
O 0.516 0.397 0.918
O 0.539 0.656 0.060
O 0.557 0.400 0.552
O 0.336 0.123 0.832
Os 0.237 0.126 0.331
O 0.441 0.082 0.230
O 0.941 0.582 0.270
O 0.516 0.103 0.418
Os 0.742 0.373 0.667
Nd 0.809 0.623 0.941
O 0.057 0.600 0.448
O 0.918 0.320 0.778
O 0.557 0.100 0.052
Nd 0.245 0.620 0.596
Os 0.742 0.127 0.167

## Properties
magnetic moment	0.01	μB/f.u.
space group	Pna2_1 (33)

=====

ii) The following is a DFT calculation (PBE) of NdOsO4 after structural relaxation.

Cell lengths 5.485, 7.881, 7.725 Å; angles 103.12, 90.00, 90.00 degrees
Sites, in units of the cell vectors:
O 0.513 0.629 0.680
O 0.528 0.016 0.219
Nd 0.217 0.635 0.902
Nd 0.717 0.365 0.598
O 0.972 0.016 0.719
O 0.487 0.371 0.320
O 0.028 0.984 0.281
Os 0.741 0.836 0.706
O 0.987 0.629 0.180
O 0.013 0.371 0.820
O 0.472 0.984 0.781
Os 0.241 0.164 0.794
O 0.508 0.659 0.129
Os 0.759 0.836 0.206
O 0.492 0.341 0.871
O 0.992 0.659 0.629
Nd 0.783 0.365 0.098
O 0.008 0.341 0.371
Nd 0.283 0.635 0.402
O 0.645 0.816 0.450
O 0.855 0.816 0.950
O 0.145 0.184 0.050
Os 0.259 0.164 0.294
O 0.355 0.184 0.550

## Properties
magnetic moment	0.24	μB/f.u.
space group	P2_1/c (14)

=====

Stability ranking, top and bottom: i) is the most stable and ii) is the least stable.

=====

i) The following is a DFT calculation (PBE) of Nd2PO after structural relaxation.

Cell lengths 3.794, 3.794, 7.108 Å; angles 74.52, 74.52, 60.00 degrees
Sites, in units of the cell vectors:
P 0.668 0.668 0.997
O 0.496 0.496 0.512
Nd 0.248 0.248 0.255
Nd 0.088 0.088 0.736

## Properties
magnetic moment	0.00	μB/f.u.
space group	R3m (160)

=====

ii) The following is a DFT calculation (PBE) of Nd2PO after structural relaxation.

Cell lengths 5.654, 5.667, 10.804 Å; angles 91.13, 90.00, 90.00 degrees
Sites, in units of the cell vectors:
Nd 0.759 0.028 0.363
Nd 0.227 0.496 0.387
Nd 0.227 0.004 0.113
P 0.257 0.998 0.375
Nd 0.241 0.972 0.637
Nd 0.773 0.996 0.887
Nd 0.241 0.528 0.863
O 0.791 0.041 0.124
O 0.791 0.459 0.376
Nd 0.759 0.472 0.137
O 0.209 0.959 0.876
O 0.209 0.541 0.624
Nd 0.773 0.504 0.613
P 0.743 0.498 0.875
P 0.257 0.502 0.125
P 0.743 0.002 0.625

## Properties
magnetic moment	0.00	μB/f.u.
space group	P2/c (13)

=====

iii) The following is a DFT calculation (PBE) of Nd2PO after structural relaxation.

Cell lengths 3.899, 3.899, 6.657 Å; angles 72.97, 72.97, 60.00 degrees
Sites, in units of the cell vectors:
O 0.000 0.000 0.000
Nd 0.258 0.258 0.225
Nd 0.742 0.742 0.775
P 0.500 0.500 0.500

## Properties
magnetic moment	0.00	μB/f.u.
space group	R-3m (166)

=====

Stability ranking, top and bottom: iii) is the most stable and i) is the least stable.

=====

i) The following is a DFT calculation (PBE) of NdPa2O7 after structural relaxation.

Cell lengths 3.801, 3.801, 9.216 Å; angles 101.90, 101.90, 90.00 degrees
Sites, in units of the cell vectors:
O 0.103 0.603 0.206
O 0.603 0.103 0.206
Nd 0.000 0.000 0.000
O 0.397 0.897 0.794
O 0.500 0.500 0.000
O 0.250 0.750 0.500
O 0.750 0.250 0.500
Pa 0.667 0.667 0.334
Pa 0.333 0.333 0.666
O 0.897 0.397 0.794

## Properties
magnetic moment	1.00	μB/f.u.
space group	I4/mmm (139)

=====

ii) The following is a DFT calculation (PBE) of NdPa2O7 after structural relaxation.

Cell lengths 3.917, 3.917, 10.868 Å; angles 79.62, 79.62, 60.00 degrees
Sites, in units of the cell vectors:
Pa 0.932 0.932 0.203
O 0.718 0.718 0.845
O 0.422 0.422 0.735
O 0.000 0.000 0.000
O 0.137 0.137 0.590
Nd 0.500 0.500 0.500
O 0.282 0.282 0.155
Pa 0.068 0.068 0.797
O 0.578 0.578 0.265
O 0.863 0.863 0.410

## Properties
magnetic moment	1.09	μB/f.u.
space group	R-3m (166)

=====

Stability ranking, top and bottom: ii) is the most stable and i) is the least stable.

=====

i) The following is a DFT calculation (PBE) of NdPbO2 after structural relaxation.

Cell lengths 3.590, 3.590, 7.353 Å; angles 75.87, 75.87, 60.00 degrees
Sites, in units of the cell vectors:
O 0.283 0.283 0.150
Pb 0.488 0.488 0.537
Nd 0.666 0.666 0.002
O 0.063 0.063 0.811

## Properties
magnetic moment	0.00	μB/f.u.
space group	R3m (160)

=====

ii) The following is a DFT calculation (PBE) of NdPbO2 after structural relaxation.

Cell lengths 3.844, 3.844, 7.453 Å; angles 75.06, 75.06, 60.00 degrees
Sites, in units of the cell vectors:
O 0.104 0.104 0.689
O 0.896 0.896 0.311
Nd 0.000 0.000 0.000
Pb 0.500 0.500 0.500

## Properties
magnetic moment	0.39	μB/f.u.
space group	R-3m (166)

=====

Stability ranking, top and bottom: i) is the most stable and ii) is the least stable.

=====

i) The following is a DFT calculation (PBE) of NdPbO after structural relaxation.

Cell lengths 3.927, 3.927, 11.250 Å; angles 79.93, 79.95, 60.00 degrees
Sites, in units of the cell vectors:
Pb 0.132 0.131 0.605
Nd 0.379 0.379 0.862
O 0.695 0.695 0.916
Pb 0.868 0.869 0.395
Nd 0.621 0.621 0.138
O 0.305 0.305 0.084

## Properties
magnetic moment	0.00	μB/f.u.
space group	R-3m (166)

=====

ii) The following is a DFT calculation (PBE) of NdPbO after structural relaxation.

Cell lengths 4.141, 4.149, 8.219 Å; angles 90.00, 90.00, 90.00 degrees
Sites, in units of the cell vectors:
Pb 0.814 0.134 0.497
O 0.314 0.134 0.081
Nd 0.314 0.634 0.217
Nd 0.814 0.134 0.944
O 0.814 0.634 0.080
Pb 0.314 0.634 0.664

## Properties
magnetic moment	0.00	μB/f.u.
space group	P4/nmm (129)

=====

Stability ranking, top and bottom: ii) is the most stable and i) is the least stable.

=====

i) The following is a DFT calculation (PBE) of Nd3PbO2 after structural relaxation.

Cell lengths 3.568, 6.479, 11.373 Å; angles 90.00, 90.00, 90.00 degrees
Sites, in units of the cell vectors:
Pb 0.000 0.534 0.136
Nd 0.500 0.270 0.663
Nd 0.500 0.102 0.111
O 0.500 0.517 0.497
O 0.500 0.017 0.503
Nd 0.500 0.770 0.337
Nd 0.500 0.602 0.889
Nd 0.000 0.766 0.599
O 0.000 0.512 0.746
O 0.000 0.012 0.254
Pb 0.000 0.034 0.864
Nd 0.000 0.266 0.401

## Properties
magnetic moment	0.00	μB/f.u.
space group	Pmc2_1 (26)

=====

ii) The following is a DFT calculation (PBE) of Nd3PbO2 after structural relaxation.

Cell lengths 4.754, 4.754, 6.884 Å; angles 110.20, 110.20, 90.00 degrees
Sites, in units of the cell vectors:
O 0.700 0.700 0.400
Nd 0.750 0.250 0.500
Pb 0.000 0.000 0.000
O 0.300 0.300 0.600
Nd 0.250 0.750 0.500
Nd 0.500 0.500 0.000

## Properties
magnetic moment	0.00	μB/f.u.
space group	I4/mmm (139)

=====

Stability ranking, top and bottom: ii) is the most stable and i) is the least stable.

=====

i) The following is a DFT calculation (PBE) of Nd2PdO after structural relaxation.

Cell lengths 3.274, 3.274, 7.177 Å; angles 90.00, 90.00, 90.00 degrees
Sites, in units of the cell vectors:
O 0.500 0.500 0.000
Nd 0.000 0.000 0.777
Nd 0.000 0.000 0.223
Pd 0.500 0.500 0.500

## Properties
magnetic moment	0.00	μB/f.u.
space group	P4/mmm (123)

=====

ii) The following is a DFT calculation (PBE) of Nd2PdO after structural relaxation.

Cell lengths 3.511, 3.511, 8.577 Å; angles 78.19, 78.19, 60.00 degrees
Sites, in units of the cell vectors:
Pd 0.000 0.000 0.000
O 0.500 0.500 0.500
Nd 0.108 0.108 0.676
Nd 0.892 0.892 0.324

## Properties
magnetic moment	0.00	μB/f.u.
space group	R-3m (166)

=====

iii) The following is a DFT calculation (PBE) of Nd2PdO after structural relaxation.

Cell lengths 5.976, 6.114, 10.265 Å; angles 95.23, 90.00, 90.00 degrees
Sites, in units of the cell vectors:
Pd 0.296 0.564 0.141
Pd 0.704 0.064 0.641
Nd 0.786 0.469 0.146
Nd 0.242 0.050 0.093
Nd 0.758 0.550 0.593
O 0.854 0.091 0.123
Nd 0.786 0.031 0.354
Pd 0.704 0.436 0.859
Nd 0.214 0.531 0.854
O 0.854 0.409 0.377
Pd 0.296 0.936 0.359
O 0.146 0.909 0.877
Nd 0.242 0.450 0.407
Nd 0.214 0.969 0.646
O 0.146 0.591 0.623
Nd 0.758 0.950 0.907

## Properties
magnetic moment	0.00	μB/f.u.
space group	P2/c (13)

=====

Stability ranking, top and bottom: iii) is the most stable and ii) is the least stable.